(1)
VASP calculation (PBE) on a relaxed structure of V3WBr.

energy relative to the elements, uncorrected	1507	meV per atom
total DFT energy (no corrections)	-6.8897	eV/atom
space-group type	Pm-3m

a b c (Å): 4.8029 4.8029 4.8029
angles (deg): 90.00 90.00 90.00
With the nearest neighbours (Å) after each atom.
Fractional positions:
V 0.5000 0.0000 0.0000  2 W 2.40
V 0.0000 0.0000 0.5000  2 W 2.40
V 0.0000 0.5000 0.0000  2 W 2.40
Br 0.5000 0.5000 0.5000  12 V 3.40
W 0.0000 0.0000 0.0000  6 V 2.40

=====

(2)
VASP calculation (PBE) on a relaxed structure of VW2Br.

energy relative to the elements, uncorrected	1131	meV per atom
total DFT energy (no corrections)	-8.0437	eV/atom
space-group type	Fm-3m
offset from the most stable computed form	0	meV per atom

a b c (Å): 4.4771 4.4771 4.4771
angles (deg): 60.00 60.00 60.00
With the nearest neighbours (Å) after each atom.
Fractional positions:
W 0.2500 0.2500 0.2500  4 Br 2.74, 4 V 2.74
W 0.7500 0.7500 0.7500  4 V 2.74, 4 Br 2.74
Br 0.5000 0.5000 0.5000  8 W 2.74
V 0.0000 0.0000 0.0000  8 W 2.74

=====

(3)
VASP calculation (PBE) on a relaxed structure of VW3Br.

energy relative to the elements, uncorrected	2097	meV per atom
total DFT energy (no corrections)	-7.8334	eV/atom
space-group type	Pm-3m
offset from the most stable computed form	0	meV per atom

a b c (Å): 4.6367 4.6367 4.6367
angles (deg): 90.00 90.00 90.00
With the nearest neighbours (Å) after each atom.
Fractional positions:
W 0.5000 0.0000 0.0000  2 V 2.32
W 0.0000 0.5000 0.0000  2 V 2.32
W 0.0000 0.0000 0.5000  2 V 2.32
V 0.0000 0.0000 0.0000  6 W 2.32
Br 0.5000 0.5000 0.5000  12 W 3.28

=====

(4)
VASP calculation (PBE) on a relaxed structure of VWBr2.

energy relative to the elements, uncorrected	618	meV per atom
total DFT energy (no corrections)	-5.7367	eV/atom
space-group type	R-3m
offset from the most stable computed form	0	meV per atom

a b c (Å): 8.8385 8.8385 8.8385
angles (deg): 20.21 20.21 20.21
With the nearest neighbours (Å) after each atom.
Fractional positions:
V 0.5000 0.5000 0.5000  6 Br 2.53
Br 0.9024 0.9024 0.9024  3 V 2.53, 1 W 2.54
Br 0.0976 0.0976 0.0976  3 V 2.53, 1 W 2.54
W 0.0000 0.0000 0.0000  2 Br 2.54

=====

(5)
VASP calculation (PBE) on a relaxed structure of YVBr2.

energy relative to the elements, uncorrected	-288	meV per atom
total DFT energy (no corrections)	-5.0206	eV/atom
space-group type	I-42d
offset from the most stable computed form	116	meV per atom

a b c (Å): 4.8776 4.8776 9.5368
angles (deg): 75.18 75.18 90.00
With the nearest neighbours (Å) after each atom.
Fractional positions:
Y 0.0000 0.0000 0.0000  4 Br 2.85
Y 0.7500 0.2500 0.5000  4 Br 2.85
Br 0.8750 0.8591 0.7500  2 V 2.78, 2 Y 2.85
Br 0.1409 0.6250 0.2500  2 V 2.78, 2 Y 2.85
Br 0.3750 0.3909 0.7500  2 V 2.78, 2 Y 2.85
Br 0.6091 0.1250 0.2500  2 V 2.78, 2 Y 2.85
V 0.5000 0.5000 0.0000  4 Br 2.78
V 0.2500 0.7500 0.5000  4 Br 2.78

=====

(6)
VASP calculation (PBE) on a relaxed structure of YVBr3.

energy relative to the elements, uncorrected	-369	meV per atom
total DFT energy (no corrections)	-4.4896	eV/atom
space-group type	Pm-3m
offset from the most stable computed form	62	meV per atom

a b c (Å): 5.1752 5.1752 5.1752
angles (deg): 90.00 90.00 90.00
With the nearest neighbours (Å) after each atom.
Fractional positions:
V 0.0000 0.0000 0.0000  6 Br 2.59
Y 0.5000 0.5000 0.5000  12 Br 3.66
Br 0.0000 0.0000 0.5000  2 V 2.59
Br 0.5000 0.0000 0.0000  2 V 2.59
Br 0.0000 0.5000 0.0000  2 V 2.59

=====

(7)
VASP calculation (PBE) on a relaxed structure of YVBr2.

energy relative to the elements, uncorrected	-321	meV per atom
total DFT energy (no corrections)	-5.0531	eV/atom
space-group type	R-3m
offset from the most stable computed form	83	meV per atom

a b c (Å): 9.3032 9.3032 9.3032
angles (deg): 23.36 23.36 23.36
With the nearest neighbours (Å) after each atom.
Fractional positions:
Y 0.0000 0.0000 0.0000  2 Br 2.99
Br 0.8898 0.8898 0.8898  3 V 2.66
Br 0.1102 0.1102 0.1102  3 V 2.66
V 0.5000 0.5000 0.5000  6 Br 2.66

=====

(8)
VASP calculation (PBE) on a relaxed structure of YVBr2.

energy relative to the elements, uncorrected	-404	meV per atom
total DFT energy (no corrections)	-5.1366	eV/atom
space-group type	R-3m
offset from the most stable computed form	0	meV per atom

a b c (Å): 9.5781 9.5781 9.5781
angles (deg): 21.64 21.64 21.64
With the nearest neighbours (Å) after each atom.
Fractional positions:
Y 0.5000 0.5000 0.5000  6 Br 2.93
Br 0.9068 0.9068 0.9068  1 V 2.61, 3 Y 2.93
Br 0.0932 0.0932 0.0932  1 V 2.61, 3 Y 2.93
V 0.0000 0.0000 0.0000  2 Br 2.61

=====

| no. | DOS(E_F) (states/eV per atom) |
| --- | --- |
| 1 | 1.852 |
| 2 | 0.820 |
| 3 | 1.342 |
| 4 | 1.009 |
| 5 | 0.540 |
| 6 | 0.960 |
| 7 | 0.693 |
| 8 | 0.818 |